# Ag2HOsPt, relaxed, DFT PBE
# Density of states at the Fermi level = 3.5 states/eV per cell
# Total magnetization = 0.34 μB/atom
# Uncorrected energy = -20.8 eV/cell
data_Ag2HOsPt
_space_group_name_H-M_alt 'P 1'
_space_group_IT_number 1
_cell_length_a 5.142
_cell_length_b 3.119
_cell_length_c 5.142
_cell_angle_alpha 90.00
_cell_angle_beta 90.00
_cell_angle_gamma 90.00
loop_
_space_group_symop_operation_xyz
'x,y,z'
loop_
_atom_site_label
_atom_site_type_symbol
_atom_site_fract_x
_atom_site_fract_y
_atom_site_fract_z
H1 H 0.000 0.500 0.000
Ag1 Ag 0.500 0.000 0.000
Os1 Os 0.000 0.000 0.000
Ag2 Ag 0.000 0.000 0.500
Pt1 Pt 0.500 0.500 0.500


# RbHg3Br3, relaxed, DFT PBE
# Density of states at the Fermi level = 17.6 states/eV per cell
# Total magnetization = 0.00 μB/atom
# Uncorrected energy = -18.4 eV/cell
data_RbHg3Br3
_space_group_name_H-M_alt 'P 1'
_space_group_IT_number 1
_cell_length_a 8.753
_cell_length_b 8.753
_cell_length_c 8.753
_cell_angle_alpha 90.00
_cell_angle_beta 90.00
_cell_angle_gamma 90.00
loop_
_space_group_symop_operation_xyz
'x,y,z'
loop_
_atom_site_label
_atom_site_type_symbol
_atom_site_fract_x
_atom_site_fract_y
_atom_site_fract_z
Rb1 Rb 0.000 0.000 0.000
Hg1 Hg 0.000 0.250 0.500
Br1 Br 0.750 0.000 0.500
Br2 Br 0.000 0.500 0.750
Br3 Br 0.500 0.250 0.000
Br4 Br 0.250 0.000 0.500
Hg2 Hg 0.500 0.000 0.750
Rb2 Rb 0.500 0.500 0.500
Hg3 Hg 0.000 0.750 0.500
Hg4 Hg 0.750 0.500 0.000
Br5 Br 0.500 0.750 0.000
Hg5 Hg 0.250 0.500 0.000
Hg6 Hg 0.500 0.000 0.250
Br6 Br 0.000 0.500 0.250


# TbDy3Sc, relaxed, DFT PBE
# Density of states at the Fermi level = 17.8 states/eV per cell
# Total magnetization = 0.00 μB/atom
# Uncorrected energy = -49.3 eV/cell
# ΔE_f = 0.12 eV/f.u.
# Excess energy over the best structure of this formula in the dataset = 0.0 meV/atom
data_TbDy3Sc
_space_group_name_H-M_alt 'P 1'
_space_group_IT_number 1
_cell_length_a 5.537
_cell_length_b 6.179
_cell_length_c 9.435
_cell_angle_alpha 109.20
_cell_angle_beta 90.00
_cell_angle_gamma 90.00
loop_
_space_group_symop_operation_xyz
'x,y,z'
loop_
_atom_site_label
_atom_site_type_symbol
_atom_site_fract_x
_atom_site_fract_y
_atom_site_fract_z
Sc1 Sc 0.250 0.869 0.404
Tb1 Tb 0.750 0.731 0.798
Dy1 Dy 0.750 0.543 0.403
Dy2 Dy 0.750 0.936 0.209
Dy3 Dy 0.250 0.457 0.597
Dy4 Dy 0.750 0.332 0.997
Dy5 Dy 0.250 0.064 0.791
Tb2 Tb 0.250 0.269 0.202
Dy6 Dy 0.250 0.668 0.003
Sc2 Sc 0.750 0.131 0.596


# Pm2Mg6Ag3, relaxed, DFT PBE
# Density of states at the Fermi level = 11.5 states/eV per cell
# Total magnetization = 0.00 μB/atom
# Uncorrected energy = -28.8 eV/cell
# ΔE_f = -1.16 eV/f.u.
data_Pm2Mg6Ag3
_space_group_name_H-M_alt 'P 1'
_space_group_IT_number 1
_cell_length_a 4.448
_cell_length_b 8.335
_cell_length_c 8.335
_cell_angle_alpha 120.00
_cell_angle_beta 90.00
_cell_angle_gamma 90.00
loop_
_space_group_symop_operation_xyz
'x,y,z'
loop_
_atom_site_label
_atom_site_type_symbol
_atom_site_fract_x
_atom_site_fract_y
_atom_site_fract_z
Mg1 Mg 0.000 0.000 0.793
Mg2 Mg 0.500 0.715 0.715
Mg3 Mg 0.000 0.207 0.207
Ag1 Ag 0.500 0.000 0.606
Mg4 Mg 0.000 0.793 0.000
Ag2 Ag 0.500 0.394 0.394
Pm1 Pm 0.000 0.333 0.667
Pm2 Pm 0.000 0.667 0.333
Ag3 Ag 0.500 0.606 0.000
Mg5 Mg 0.500 0.285 0.000
Mg6 Mg 0.500 0.000 0.285


# Cs4K3Ag2, relaxed, DFT PBE
# Density of states at the Fermi level = 11.3 states/eV per cell
# Total magnetization = 0.00 μB/atom
# Uncorrected energy = -24.3 eV/cell
# ΔE_f = 0.27 eV/f.u.
data_Cs4K3Ag2
_space_group_name_H-M_alt 'P 1'
_space_group_IT_number 1
_cell_length_a 9.191
_cell_length_b 11.823
_cell_length_c 12.950
_cell_angle_alpha 117.16
_cell_angle_beta 82.70
_cell_angle_gamma 90.00
loop_
_space_group_symop_operation_xyz
'x,y,z'
loop_
_atom_site_label
_atom_site_type_symbol
_atom_site_fract_x
_atom_site_fract_y
_atom_site_fract_z
Ag1 Ag 0.346 0.538 0.547
Cs1 Cs 0.983 0.324 0.559
K1 K 0.373 0.882 0.176
Cs2 Cs 0.483 0.235 0.559
K2 K 0.250 0.484 0.000
Cs3 Cs 0.113 0.065 0.771
Ag2 Ag 0.846 0.010 0.547
K3 K 0.127 0.706 0.824
Cs4 Cs 0.017 0.676 0.441
K4 K 0.627 0.118 0.824
Cs5 Cs 0.887 0.935 0.229
K5 K 0.750 0.516 0.000
Ag3 Ag 0.154 0.990 0.453
Ag4 Ag 0.654 0.462 0.453
Cs6 Cs 0.613 0.706 0.771
K6 K 0.873 0.294 0.176
Cs7 Cs 0.517 0.765 0.441
Cs8 Cs 0.387 0.294 0.229


# CuPRu2, relaxed, DFT PBE
# Density of states at the Fermi level = 2.2 states/eV per cell
# Total magnetization = 0.00 μB/atom
# Uncorrected energy = -28.2 eV/cell
# ΔE_f = -0.16 eV/f.u.
data_CuPRu2
_space_group_name_H-M_alt 'P 1'
_space_group_IT_number 1
_cell_length_a 5.035
_cell_length_b 5.035
_cell_length_c 5.035
_cell_angle_alpha 147.12
_cell_angle_beta 128.52
_cell_angle_gamma 62.44
loop_
_space_group_symop_operation_xyz
'x,y,z'
loop_
_atom_site_label
_atom_site_type_symbol
_atom_site_fract_x
_atom_site_fract_y
_atom_site_fract_z
Cu1 Cu 0.750 0.250 0.500
Ru1 Ru 0.041 0.041 0.000
Ru2 Ru 0.459 0.459 0.000
P1 P 0.250 0.750 0.500


# NdPuO2, relaxed, DFT PBE
# Density of states at the Fermi level = 8.9 states/eV per cell
# Total magnetization = 1.38 μB/atom
# Uncorrected energy = -38.8 eV/cell
# Excess energy over the best structure of this formula in the dataset = 154.0 meV/atom
data_NdPuO2
_space_group_name_H-M_alt 'P 1'
_space_group_IT_number 1
_cell_length_a 3.444
_cell_length_b 3.444
_cell_length_c 6.509
_cell_angle_alpha 74.66
_cell_angle_beta 74.66
_cell_angle_gamma 60.00
loop_
_space_group_symop_operation_xyz
'x,y,z'
loop_
_atom_site_label
_atom_site_type_symbol
_atom_site_fract_x
_atom_site_fract_y
_atom_site_fract_z
Pu1 Pu 0.495 0.495 0.514
O1 O 0.086 0.086 0.742
O2 O 0.249 0.249 0.254
Nd1 Nd 0.670 0.670 0.991


# Zr2Pd3Pt, relaxed, DFT PBE
# Density of states at the Fermi level = 10.8 states/eV per cell
# Total magnetization = 0.00 μB/atom
# Uncorrected energy = -167.3 eV/cell
# ΔE_f = -3.10 eV/f.u.
# Excess energy over the best structure of this formula in the dataset = 121.9 meV/atom
data_Zr2Pd3Pt
_space_group_name_H-M_alt 'P 1'
_space_group_IT_number 1
_cell_length_a 8.060
_cell_length_b 8.060
_cell_length_c 9.283
_cell_angle_alpha 115.76
_cell_angle_beta 115.76
_cell_angle_gamma 89.95
loop_
_space_group_symop_operation_xyz
'x,y,z'
loop_
_atom_site_label
_atom_site_type_symbol
_atom_site_fract_x
_atom_site_fract_y
_atom_site_fract_z
Zr1 Zr 0.870 0.100 0.199
Pd1 Pd 0.709 0.291 0.000
Pd2 Pd 0.291 0.709 0.000
Pt1 Pt 0.249 0.250 0.499
Pd3 Pd 0.959 0.041 0.500
Zr2 Zr 0.380 0.650 0.301
Zr3 Zr 0.900 0.670 0.800
Pd4 Pd 0.709 0.709 0.000
Pd5 Pd 0.125 0.375 0.250
Zr4 Zr 0.350 0.080 0.700
Zr5 Zr 0.920 0.650 0.300
Pd6 Pd 0.541 0.041 0.500
Pd7 Pd 0.625 0.875 0.750
Pd8 Pd 0.125 0.875 0.750
Pd9 Pd 0.291 0.291 0.000
Zr6 Zr 0.330 0.100 0.200
Pd10 Pd 0.959 0.459 0.500
Pd11 Pd 0.125 0.875 0.250
Pt2 Pt 0.500 0.999 0.999
Zr7 Zr 0.350 0.620 0.699
Pd12 Pd 0.541 0.459 0.500
Pt3 Pt 0.001 0.500 0.001
Pt4 Pt 0.750 0.751 0.501
Zr8 Zr 0.900 0.130 0.801


# ZrMnPt2, relaxed, DFT PBE
# Density of states at the Fermi level = 3.2 states/eV per cell
# Total magnetization = 0.98 μB/atom
# Uncorrected energy = -32.4 eV/cell
# ΔE_f = -2.58 eV/f.u.
data_ZrMnPt2
_space_group_name_H-M_alt 'P 1'
_space_group_IT_number 1
_cell_length_a 4.632
_cell_length_b 2.964
_cell_length_c 4.928
_cell_angle_alpha 89.94
_cell_angle_beta 90.00
_cell_angle_gamma 90.00
loop_
_space_group_symop_operation_xyz
'x,y,z'
loop_
_atom_site_label
_atom_site_type_symbol
_atom_site_fract_x
_atom_site_fract_y
_atom_site_fract_z
Pt1 Pt 0.000 0.125 0.928
Zr1 Zr 0.000 0.625 0.437
Mn1 Mn 0.500 0.626 0.835
Pt2 Pt 0.500 0.125 0.299


# ZrNi3Au, relaxed, DFT PBE
# Density of states at the Fermi level = 7.8 states/eV per cell
# Total magnetization = 0.00 μB/atom
# Uncorrected energy = -24.4 eV/cell
# ΔE_f = 4.79 eV/f.u.
# Excess energy over the best structure of this formula in the dataset = 0.0 meV/atom
data_ZrNi3Au
_space_group_name_H-M_alt 'P 1'
_space_group_IT_number 1
_cell_length_a 4.587
_cell_length_b 4.587
_cell_length_c 4.587
_cell_angle_alpha 90.00
_cell_angle_beta 90.00
_cell_angle_gamma 90.00
loop_
_space_group_symop_operation_xyz
'x,y,z'
loop_
_atom_site_label
_atom_site_type_symbol
_atom_site_fract_x
_atom_site_fract_y
_atom_site_fract_z
Au1 Au 0.000 0.000 0.000
Zr1 Zr 0.500 0.500 0.500
Ni1 Ni 0.000 0.500 0.000
Ni2 Ni 0.000 0.000 0.500
Ni3 Ni 0.500 0.000 0.000


# NaTiGa2Sn, relaxed, DFT PBE
# Density of states at the Fermi level = 4.5 states/eV per cell
# Total magnetization = 0.00 μB/atom
# Uncorrected energy = -18.7 eV/cell
# ΔE_f = 0.58 eV/f.u.
data_NaTiGa2Sn
_space_group_name_H-M_alt 'P 1'
_space_group_IT_number 1
_cell_length_a 5.084
_cell_length_b 5.267
_cell_length_c 5.084
_cell_angle_alpha 90.00
_cell_angle_beta 90.00
_cell_angle_gamma 90.00
loop_
_space_group_symop_operation_xyz
'x,y,z'
loop_
_atom_site_label
_atom_site_type_symbol
_atom_site_fract_x
_atom_site_fract_y
_atom_site_fract_z
Ga1 Ga 0.500 0.000 0.000
Ti1 Ti 0.000 0.000 0.000
Na1 Na 0.500 0.500 0.500
Ga2 Ga 0.000 0.000 0.500
Sn1 Sn 0.000 0.500 0.000


# Pm2YHoAs4, relaxed, DFT PBE
# Density of states at the Fermi level = 0.9 states/eV per cell
# Total magnetization = 0.00 μB/atom
# Uncorrected energy = -51.4 eV/cell
# ΔE_f = -12.25 eV/f.u.
data_Pm2YHoAs4
_space_group_name_H-M_alt 'P 1'
_space_group_IT_number 1
_cell_length_a 4.179
_cell_length_b 7.234
_cell_length_c 7.228
_cell_angle_alpha 109.48
_cell_angle_beta 90.00
_cell_angle_gamma 90.00
loop_
_space_group_symop_operation_xyz
'x,y,z'
loop_
_atom_site_label
_atom_site_type_symbol
_atom_site_fract_x
_atom_site_fract_y
_atom_site_fract_z
As1 As 0.500 0.248 0.243
As2 As 0.000 0.253 0.758
Pm1 Pm 0.000 0.500 0.500
As3 As 0.000 0.747 0.242
As4 As 0.500 0.752 0.757
Y1 Y 0.000 0.000 0.000
Ho1 Ho 0.500 0.500 0.000
Pm2 Pm 0.500 0.000 0.500